First-principles (PBE) data for a geometry-optimized LiSiAgHg structure, as listed in Alexandria.

Lattice parameters (Å, degrees): 4.6205 4.6205 4.6205 60.00 60.00 60.00
Fractional coordinates of all 4 atoms:
Si  0.7500  0.7500  0.7500
Hg  0.0000  0.0000  0.0000
Ag  0.5000  0.5000  0.5000
Li  0.2500  0.2500  0.2500

- DOS at the Fermi energy: 1.5 states/eV per cell
- Formation energy (no corrections): 0.03 eV per atom

First-principles (PBE) data for a geometry-optimized LiSmAgHg structure, as listed in Alexandria.

Lattice parameters (Å, degrees): 5.0437 5.0437 5.0437 60.00 60.00 60.00
Fractional coordinates of all 4 atoms:
Ag  0.2500  0.2500  0.2500
Hg  0.7500  0.7500  0.7500
Sm  0.0000  0.0000  0.0000
Li  0.5000  0.5000  0.5000

- DOS at the Fermi energy: 3.9 states/eV per cell
- Formation energy: -315 meV per atom

First-principles (PBE) data for a geometry-optimized Li2SmAgHg4 structure, as listed in Alexandria.

Lattice parameters (Å, degrees): 4.7345 4.7345 9.4144 75.44 75.44 60.00
Fractional coordinates of all 8 atoms:
Li  0.7674  0.7674  0.6980
Li  0.2326  0.2326  0.3020
Sm  0.0000  0.0000  0.0000
Ag  0.5000  0.5000  0.5000
Hg  0.3906  0.3906  0.8283
Hg  0.8778  0.8778  0.3666
Hg  0.1222  0.1222  0.6334
Hg  0.6094  0.6094  0.1717

- DOS at the Fermi energy: 4.3 states/eV per cell
- Formation energy: -296 meV per atom

First-principles (PBE) data for a geometry-optimized Li2SmAg2Hg2 structure, as listed in Alexandria.

Lattice parameters (Å, degrees): 4.7767 4.7767 7.9423 72.50 72.50 60.00
Fractional coordinates of all 7 atoms:
Li  0.1450  0.1450  0.5651
Li  0.8550  0.8550  0.4349
Sm  0.0000  0.0000  0.0000
Ag  0.5655  0.5655  0.3036
Ag  0.4345  0.4345  0.6964
Hg  0.7348  0.7348  0.7956
Hg  0.2652  0.2652  0.2044

- DOS at the Fermi energy: 3.7 states/eV per cell
- Formation energy: -264 meV per atom

First-principles (PBE) data for a geometry-optimized Li2AgSnHg4 structure, as listed in Alexandria.

Lattice parameters (Å, degrees): 4.9263 4.9263 8.5869 73.33 73.33 60.00
Fractional coordinates of all 8 atoms:
Li  0.7500  0.7500  0.7498
Li  0.2500  0.2500  0.2502
Ag  0.5000  0.5000  0.5000
Sn  0.0000  0.0000  0.0000
Hg  0.3806  0.3806  0.8582
Hg  0.8694  0.8694  0.3919
Hg  0.1306  0.1306  0.6081
Hg  0.6194  0.6194  0.1418

- DOS at the Fermi energy: 1.4 states/eV per cell
- Formation energy: -177 meV per atom

First-principles (PBE) data for a geometry-optimized LiAgSnHg structure, as listed in Alexandria.

Lattice parameters (Å, degrees): 4.4761 4.4798 5.1557 115.10 115.73 90.00
Fractional coordinates of all 4 atoms:
Li  0.0000  0.0006  0.0000
Ag  0.2501  0.7519  0.5001
Sn  0.5000  0.5008  0.0000
Hg  0.7500  0.2467  0.5000

- DOS at the Fermi energy: 1.3 states/eV per cell
- Energy above the most stable polymorph in this dataset: 0.0 kJ/mol of atoms
- Formation energy: -157 meV per atom

First-principles (PBE) data for a geometry-optimized LiAgSnHg structure, as listed in Alexandria.

Lattice parameters (Å, degrees): 4.9047 4.9047 4.9047 60.00 60.00 60.00
Fractional coordinates of all 4 atoms:
Li  0.7500  0.7500  0.7500
Hg  0.0000  0.0000  0.0000
Ag  0.5000  0.5000  0.5000
Sn  0.2500  0.2500  0.2500

- DOS at the Fermi energy: 1.0 states/eV per cell
- Energy above the most stable polymorph in this dataset: 1.6 kJ/mol of atoms
- Formation energy: -140 meV per atom

First-principles (PBE) data for a geometry-optimized Li5Ag2Sn2Hg structure, as listed in Alexandria.

Lattice parameters (Å, degrees): 3.6983 10.1001 10.1001 90.00 90.00 90.00
Fractional coordinates of all 20 atoms:
Li  0.5000  0.1959  0.0629
Li  0.5000  0.8041  0.9371
Li  0.5000  0.0629  0.8041
Li  0.5000  0.6959  0.4371
Li  0.5000  0.9371  0.1959
Li  0.5000  0.3041  0.5629
Li  0.5000  0.5629  0.6959
Li  0.5000  0.4371  0.3041
Li  0.5000  0.5000  0.0000
Li  0.5000  0.0000  0.5000
Ag  0.0000  0.1316  0.6316
Ag  0.0000  0.8684  0.3684
Ag  0.0000  0.6316  0.8684
Ag  0.0000  0.3684  0.1316
Sn  0.0000  0.6668  0.1668
Sn  0.0000  0.3332  0.8332
Sn  0.0000  0.1668  0.3332
Sn  0.0000  0.8332  0.6668
Hg  0.0000  0.0000  0.0000
Hg  0.0000  0.5000  0.5000

- DOS at the Fermi energy: 6.4 states/eV per cell
- Formation energy: -241 meV per atom

First-principles (PBE) data for a geometry-optimized Li5AgSn2Hg2 structure, as listed in Alexandria.

Lattice parameters (Å, degrees): 3.2923 10.9614 10.9614 90.00 90.00 90.00
Fractional coordinates of all 20 atoms:
Li  0.5000  0.1965  0.0225
Li  0.5000  0.8035  0.9775
Li  0.5000  0.0225  0.8035
Li  0.5000  0.6965  0.4775
Li  0.5000  0.9775  0.1965
Li  0.5000  0.3035  0.5225
Li  0.5000  0.5225  0.6965
Li  0.5000  0.4775  0.3035
Li  0.5000  0.5000  0.0000
Li  0.5000  0.0000  0.5000
Ag  0.0000  0.0000  0.0000
Ag  0.0000  0.5000  0.5000
Sn  0.0000  0.6691  0.1691
Sn  0.0000  0.3309  0.8309
Sn  0.0000  0.1691  0.3309
Sn  0.0000  0.8309  0.6691
Hg  0.0000  0.1386  0.6386
Hg  0.0000  0.8614  0.3614
Hg  0.0000  0.6386  0.8614
Hg  0.0000  0.3614  0.1386

- DOS at the Fermi energy: 8.6 states/eV per cell
- Formation energy: -227 meV per atom

First-principles (PBE) data for a geometry-optimized SrLiAgHg2 structure, as listed in Alexandria.

Lattice parameters (Å, degrees): 5.0499 5.0499 4.9451 90.00 90.00 90.00
Fractional coordinates of all 5 atoms:
Sr  0.5000  0.5000  0.5000
Hg  0.0000  0.5000  0.0000
Hg  0.5000  0.0000  0.0000
Ag  0.0000  0.0000  0.5000
Li  0.0000  0.0000  0.0000

- DOS at the Fermi energy: 2.6 states/eV per cell
- Energy above the most stable polymorph in this dataset: 9.1 kJ/mol of atoms
- Formation energy: -239 meV per atom

First-principles (PBE) data for a geometry-optimized SrLi2AgHg4 structure, as listed in Alexandria.

Lattice parameters (Å, degrees): 4.7347 4.7347 10.1016 76.45 76.45 60.00
Fractional coordinates of all 8 atoms:
Sr  0.0000  0.0000  0.0000
Li  0.7729  0.7729  0.6814
Li  0.2271  0.2271  0.3186
Ag  0.5000  0.5000  0.5000
Hg  0.3981  0.3981  0.8056
Hg  0.8738  0.8738  0.3785
Hg  0.1262  0.1262  0.6215
Hg  0.6019  0.6019  0.1944

- DOS at the Fermi energy: 3.1 states/eV per cell
- Formation energy: -314 meV per atom

First-principles (PBE) data for a geometry-optimized SrLi4AgHg2 structure, as listed in Alexandria.

Lattice parameters (Å, degrees): 4.6971 4.6971 9.3174 75.40 75.40 60.00
Fractional coordinates of all 8 atoms:
Sr  0.0000  0.0000  0.0000
Li  0.4058  0.4058  0.7827
Li  0.8636  0.8636  0.4091
Li  0.1364  0.1364  0.5909
Li  0.5942  0.5942  0.2173
Ag  0.5000  0.5000  0.5000
Hg  0.7568  0.7568  0.7296
Hg  0.2432  0.2432  0.2704

- DOS at the Fermi energy: 3.4 states/eV per cell
- Formation energy: -269 meV per atom

First-principles (PBE) data for a geometry-optimized Sr2LiAgHg6 structure, as listed in Alexandria.

Lattice parameters (Å, degrees): 7.5149 7.2315 6.9185 63.86 59.65 91.40
Fractional coordinates of all 10 atoms:
Sr  0.1008  0.7175  0.5850
Sr  0.8992  0.2825  0.4150
Li  0.5000  0.5000  0.0000
Ag  0.0000  0.0000  0.0000
Hg  0.3326  0.8074  0.8523
Hg  0.6525  0.8220  0.0113
Hg  0.3309  0.3461  0.4928
Hg  0.6674  0.1926  0.1477
Hg  0.3475  0.1780  0.9887
Hg  0.6691  0.6539  0.5072

- DOS at the Fermi energy: 4.0 states/eV per cell
- Formation energy: -265 meV per atom

First-principles (PBE) data for a geometry-optimized SrLiAgHg3 structure, as listed in Alexandria.

Lattice parameters (Å, degrees): 6.3637 6.8011 7.7793 115.92 90.00 90.00
Fractional coordinates of all 12 atoms:
Sr  0.7500  0.2939  0.5877
Sr  0.2500  0.7061  0.4123
Li  0.2500  0.9374  0.8749
Li  0.7500  0.0626  0.1251
Ag  0.2500  0.3512  0.7025
Ag  0.7500  0.6488  0.2975
Hg  0.2500  0.1505  0.3011
Hg  0.0000  0.2822  0.0000
Hg  0.5000  0.7178  0.0000
Hg  0.5000  0.2822  0.0000
Hg  0.0000  0.7178  0.0000
Hg  0.7500  0.8495  0.6989

- DOS at the Fermi energy: 5.7 states/eV per cell
- Formation energy: -221 meV per atom

First-principles (PBE) data for a geometry-optimized Sr2LiAgHg structure, as listed in Alexandria.

Lattice parameters (Å, degrees): 6.0928 6.0928 4.8390 90.00 90.00 90.00
Fractional coordinates of all 5 atoms:
Sr  0.0000  0.5000  0.0000
Sr  0.5000  0.0000  0.0000
Hg  0.5000  0.5000  0.5000
Ag  0.0000  0.0000  0.0000
Li  0.0000  0.0000  0.5000

- DOS at the Fermi energy: 2.3 states/eV per cell
- Formation energy: -130 meV per atom

First-principles (PBE) data for a geometry-optimized Sr2Li3Ag12Hg structure, as listed in Alexandria.

Lattice parameters (Å, degrees): 11.1301 11.1301 11.1301 34.96 34.96 34.96
Fractional coordinates of all 18 atoms:
Sr  0.6400  0.6400  0.6400
Sr  0.3600  0.3600  0.3600
Li  0.5000  0.0000  0.0000
Li  0.0000  0.5000  0.0000
Li  0.0000  0.0000  0.5000
Ag  0.4059  0.4059  0.8159
Ag  0.8941  0.8941  0.4092
Ag  0.4092  0.8941  0.8941
Ag  0.8159  0.4059  0.4059
Ag  0.8941  0.4092  0.8941
Ag  0.4059  0.8159  0.4059
Ag  0.5941  0.5941  0.1841
Ag  0.1059  0.1059  0.5908
Ag  0.5908  0.1059  0.1059
Ag  0.1841  0.5941  0.5941
Ag  0.1059  0.5908  0.1059
Ag  0.5941  0.1841  0.5941
Hg  0.0000  0.0000  0.0000

- DOS at the Fermi energy: 6.1 states/eV per cell
- Formation energy: 7 meV per atom

First-principles (PBE) data for a geometry-optimized SrLiAgHg2 structure, as listed in Alexandria.

Lattice parameters (Å, degrees): 4.2896 4.2896 7.5132 106.59 106.59 90.00
Fractional coordinates of all 5 atoms:
Sr  0.0000  0.0000  0.0000
Li  0.7500  0.2500  0.5000
Ag  0.2500  0.7500  0.5000
Hg  0.6120  0.6120  0.2239
Hg  0.3880  0.3880  0.7761

- DOS at the Fermi energy: 2.4 states/eV per cell
- Energy above the most stable polymorph in this dataset: 0.0 kJ/mol of atoms
- Formation energy: -333 meV per atom

First-principles (PBE) data for a geometry-optimized LiTbAgHg structure, as listed in Alexandria.

Lattice parameters (Å, degrees): 4.9812 4.9812 4.9812 60.00 60.00 60.00
Fractional coordinates of all 4 atoms:
Tb  0.0000  0.0000  0.0000
Hg  0.7500  0.7500  0.7500
Ag  0.2500  0.2500  0.2500
Li  0.5000  0.5000  0.5000

- DOS at the Fermi energy: 4.0 states/eV per cell
- Formation energy: -316 meV per atom

First-principles (PBE) data for a geometry-optimized Li2TbAgHg4 structure, as listed in Alexandria.

Lattice parameters (Å, degrees): 4.7351 4.7351 9.2460 75.16 75.16 60.00
Fractional coordinates of all 8 atoms:
Li  0.7658  0.7658  0.7026
Li  0.2342  0.2342  0.2974
Tb  0.0000  0.0000  0.0000
Ag  0.5000  0.5000  0.5000
Hg  0.3884  0.3884  0.8348
Hg  0.8780  0.8780  0.3659
Hg  0.1220  0.1220  0.6341
Hg  0.6116  0.6116  0.1652

- DOS at the Fermi energy: 3.9 states/eV per cell
- Formation energy: -289 meV per atom

First-principles (PBE) data for a geometry-optimized LiAgHgTe structure, as listed in Alexandria.

Lattice parameters (Å, degrees): 5.0512 5.0512 5.0512 60.00 60.00 60.00
Fractional coordinates of all 4 atoms:
Te  0.2500  0.2500  0.2500
Hg  0.7500  0.7500  0.7500
Ag  0.5000  0.5000  0.5000
Li  0.0000  0.0000  0.0000

- DOS at the Fermi energy: 0.4 states/eV per cell
- Formation energy (no corrections): -0.27 eV per atom